Entry 1:
DFT (PBEsol) results for Sr2ScBr after structural relaxation.

extended XYZ file:
```
4
Lattice="5.2301 0.0000 0.0000 0.0000 5.2301 0.0000 -2.6150 -2.6150 5.1577" Properties=species:S:1:pos:R:3 pbc="T T T"
Br 2.6150 2.6150 0.0000
Sc 0.0000 0.0000 0.0000
Sr 2.6150 0.0000 2.5789
Sr 0.0000 2.6150 2.5789
```

space group: I4/mmm
excess energy over the best structure of this formula in the dataset: 215 meV/atom
ΔE_f (raw): -0.03 eV per atom

***

Entry 2:
DFT (PBEsol) results for MgCdAg2 after structural relaxation.

extended XYZ file:
```
4
Lattice="4.0798 0.0000 0.0000 0.0000 4.0741 0.0000 -2.0399 -2.0371 4.2869" Properties=species:S:1:pos:R:3 pbc="T T T"
Mg 0.0000 2.0371 2.1440
Ag 2.0399 2.0371 4.2857
Ag 2.0399 0.0000 2.1429
Cd 2.0399 2.0371 0.0011
```

space group: I-4m2
formation energy: -17 kJ/mol of atoms

***

Entry 3:
DFT (PBEsol) results for SmDyMg2 after structural relaxation.

extended XYZ file:
```
4
Lattice="-4.0545 -0.0093 3.4480 -0.0729 -3.4958 4.0127 0.7527 1.6691 4.9976" Properties=species:S:1:pos:R:3 pbc="T T T"
Mg -2.5311 -1.3771 9.3437
Mg -0.8437 -0.4590 3.1146
Sm 0.0000 0.0000 0.0000
Dy -1.6874 -0.9181 6.2291
```

space group: Fm-3m
formation energy: -8 kJ/mol of atoms